# 1
Here is a relaxed La5Pr2Sm6 crystal from Alexandria via LeMat-Bulk. Energies are from PBE.

The calculation puts the total magnetic moment at 0.0 μB/f.u. For the energy of formation, the calculation gives 0.0831 eV per atom. The calculated total energy comes out at -4.725 eV/atom.

The space group is Pbam (No. 55) and the conventional cell measures 11.945, 21.224 and 3.679 Å, with angles of 90.00, 90.00 and 90.00 degrees. The inequivalent atoms are La at (0.000, 0.000, 0.000), La at (0.065, 0.286, 0.000), La at (0.198, 0.565, 0.000), Pr at (0.192, 0.726, 0.500), Sm at (0.065, 0.140, 0.500), Sm at (0.070, 0.431, 0.500) and Sm at (0.188, 0.874, 0.000).

***

# 2
Here is a relaxed CsS crystal from Alexandria via LeMat-Bulk. Energies are from PBE.

As for the energy relative to the elements, uncorrected: -422 meV per atom. The calculation puts the total magnetic moment at 1.0 μB/f.u. The calculated total energy comes out at -2.912 eV/atom.

The space group is Pm-3m (No. 221) and the conventional cell measures 4.227, 4.227 and 4.227 Å, with angles of 90.00, 90.00 and 90.00 degrees. The inequivalent atoms are Cs at (0.000, 0.000, 0.000) and S at (0.500, 0.500, 0.500).

***

# 3
Here is a relaxed Tb2TmSc3S6 crystal from Alexandria via LeMat-Bulk. Energies are from PBE.

As for the energy relative to the elements, uncorrected: -1918 meV per atom. The calculation puts the total magnetic moment at 0.0 μB/f.u. The calculated total energy comes out at -6.709 eV/atom.

The space group is C2/m (No. 12) and the conventional cell measures 16.531, 3.789 and 7.620 Å, with angles of 90.00, 103.32 and 90.00 degrees. The inequivalent atoms are Tb at (0.167, 0.000, 0.335), Tm at (0.000, 0.500, 0.000), Sc at (0.000, 0.500, 0.500), Sc at (0.168, 0.000, 0.832), S at (0.004, 0.000, 0.746), S at (0.162, 0.500, 0.594) and S at (0.168, 0.500, 0.072).

***

# 4
Here is a relaxed LiLu2Pb crystal from Alexandria via LeMat-Bulk. Energies are from PBE.

The calculation puts the total magnetic moment at 0.2 μB/f.u. For the energy of formation, the calculation gives -0.2415 eV per atom. The calculated total energy comes out at -3.908 eV/atom.

The space group is P4/mmm (No. 123) and the conventional cell measures 4.794, 4.794 and 4.355 Å, with angles of 90.00, 90.00 and 90.00 degrees. The inequivalent atoms are Li at (0.000, 0.000, 0.000), Lu at (0.000, 0.500, 0.500) and Pb at (0.500, 0.500, 0.000).